# 1
This record from the Alexandria database describes a relaxed structure of ScCrPt. The functional is PBE.

Lattice parameters (Å, degrees): 6.2749 6.2749 6.2749 90.00 90.00 90.00
Space group F-43m (No. 216)
One atom of each set of equivalent atoms:
1 Sc 0.0000 0.0000 0.0000
2 Cr 0.0000 0.0000 0.5000
3 Pt 0.2500 0.2500 0.7500

Values from the calculation:
The calculation puts the formation energy at -0.2682 eV/atom. The value obtained for the total energy is -91.2 eV/cell. The energy above the lowest structure with this stoichiometry is 0.15 eV per formula unit.

***

# 2
This record from the Alexandria database describes a relaxed structure of ScVSi. The functional is PBE.

Lattice parameters (Å, degrees): 4.8756 8.6825 4.5332 90.00 90.00 90.00
Space group Cmcm (No. 63)
One atom of each set of equivalent atoms:
1 Sc 0.0000 0.0982 0.2500
2 V 0.0000 0.4207 0.2500
3 Si 0.0000 0.2667 0.7500

Values from the calculation:
The raw formation energy is -82 kJ/mol of formula units. The value obtained for the total energy is -86.9 eV/cell.

***

# 3
This record from the Alexandria database describes a relaxed structure of ScCl. The functional is PBE.

Lattice parameters (Å, degrees): 7.5262 7.5262 3.5867 90.00 90.00 90.00
Space group P4_2/mnm (No. 136)
One atom of each set of equivalent atoms:
1 Sc 0.2049 0.2049 0.0000
2 Cl 0.1320 0.8680 0.0000

Values from the calculation:
The raw formation energy is -153 kJ/mol of formula units. The value obtained for the total energy is -39.1 eV/cell.